This record from Alexandria via LeMat-Bulk describes a geometry-optimized Na2MnF structure. The functional is GGA+U.

Calculated values
Its magnetic moment is 21.62 μB per cell. Its total energy is -3.788 eV per atom.

a b c (Å): 6.9246 6.9246 8.7763
angles (deg): 90.00 90.00 90.00
Space group I-42d (No. 122)
One atom of each set of equivalent atoms:
Na1 0.1018 0.2500 0.1250 (multiplicity 8)
Mn1 0.0000 0.0000 0.5000 (multiplicity 4)
F1 0.0000 0.0000 0.0000 (multiplicity 4)